Density functional theory data (PBE) for CsSnHgTe2 after structural relaxation.

```
CsSnHgTe2
1.0
4.343 0.000 0.000
0.000 10.597 1.199
0.000 -3.218 9.204
Te Cs Hg Sn
4 2 2 2
direct
0.250 0.077 0.393
0.750 0.923 0.607
0.750 0.824 0.026
0.250 0.176 0.974
0.250 0.714 0.310
0.750 0.286 0.690
0.750 0.398 0.180
0.250 0.602 0.820
0.750 0.089 0.185
0.250 0.911 0.815
```

Formation energy (no corrections): -0.410 eV per atom
Density: 5.336 g/cm3
Crystal system: monoclinic
Distance to the lowest polymorph of the same formula: 0 meV per atom

---

Density functional theory data (PBE) for Mn2Si after structural relaxation.

```
Mn2Si
1.0
-3.715 -8.226 7.036
-1.066 -10.807 3.612
4.466 9.782 -3.919
Mn Si
8 4
direct
0.415 0.415 0.000
0.750 0.750 0.000
0.250 0.250 0.000
0.500 0.000 0.500
0.000 0.500 0.500
0.585 0.585 0.000
0.665 0.165 0.500
0.835 0.335 0.500
0.329 0.829 0.500
0.079 0.079 0.000
0.171 0.671 0.500
0.921 0.921 0.000
```

Formation energy (no corrections): -0.232 eV per atom
Density: 6.462 g/cm3
Crystal system: tetragonal

---

Density functional theory data (PBE) for SiP2Se after structural relaxation.

```
SiP2Se
1.0
4.496 0.000 0.000
2.248 3.894 0.000
2.248 1.298 3.671
Se P Si
1 2 1
direct
0.500 0.500 0.500
0.000 0.000 0.000
0.250 0.250 0.250
0.750 0.750 0.750
```

Formation energy (no corrections): 0.698 eV per atom
Density: 4.367 g/cm3
Crystal system: cubic
Distance to the lowest polymorph of the same formula: 750 meV per atom

---

Density functional theory data (PBE) for Tb6Ru2Rh after structural relaxation.

```
Tb6Ru2Rh
1.0
-1.524 -1.636 4.281
-6.831 -1.493 -0.279
0.801 -7.590 0.109
Tb Ru Rh
6 2 1
direct
0.627 0.245 0.500
0.373 0.755 0.500
0.041 0.754 0.164
0.959 0.246 0.836
0.705 0.755 0.836
0.295 0.245 0.164
0.334 0.500 0.832
0.666 0.500 0.168
0.000 0.500 0.500
```

Density: 9.100 g/cm3
Formation energy from the elements: -0.384 eV/atom
Crystal system: orthorhombic
Distance to the lowest polymorph of the same formula: 0 meV per atom

---

Density functional theory data (PBE) for Tb2BiTe after structural relaxation.

```
Tb2BiTe
1.0
3.958 0.000 0.000
1.979 3.427 0.000
1.979 1.142 10.112
Tb Te Bi
2 1 1
direct
0.899 0.899 0.303
0.101 0.101 0.697
0.500 0.500 0.500
0.000 0.000 0.000
```

Formation energy (no corrections): -0.502 eV per atom
Density: 7.924 g/cm3
Crystal system: trigonal
Distance to the lowest polymorph of the same formula: 621 meV per atom

---

Density functional theory data (PBE) for SmHoSe2 after structural relaxation.

```
SmHoSe2
1.0
-0.762 -2.611 3.060
1.287 -3.877 -0.269
6.025 -0.447 3.878
Ho Sm Se
1 1 2
direct
0.000 0.000 0.000
0.500 0.500 0.500
0.746 0.746 0.761
0.254 0.254 0.239
```

Formation energy (no corrections): -1.773 eV per atom
Density: 7.977 g/cm3
Crystal system: monoclinic
Distance to the lowest polymorph of the same formula: 0 meV per atom